Dy6P2S3Cl: optimized geometry, GGA-PBE.

Cell lengths 17.215, 3.950, 7.926 Å; angles 90.00, 102.89, 90.00 degrees
Space group C2/m (No. 12)
One atom of each set of equivalent atoms:
Dy (0.003, 0.000, 0.277)
Dy (0.169, 0.500, 0.580)
Dy (0.178, 0.500, 0.096)
P (0.165, 0.000, 0.330)
S (0.000, 0.500, 0.500)
S (0.161, 0.000, 0.835)
Cl (0.000, 0.500, 0.000)

Electronic total energy: -6.18 eV/atom
Formation energy (no corrections): -173.1 kJ per mole of atoms
Volume: 262.69 Å³/f.u.